1.
A plane-wave DFT calculation with GGA-PBE was carried out for a relaxed structure of LiLaTm.

Summary:
- Symmetry: P4/nmm (129)
- E_form: 0.348 eV/atom
- Uncorrected energy: -3.423 eV/atom
- Energy above the most stable polymorph in this dataset: 259.1 meV/atom
- Calculated density: 6.1 g/cm3

Cell lengths 4.622, 4.622, 8.075 Å; angles 90.00, 90.00, 90.00 degrees
Fractional coordinates of all 6 atoms:
Li1 0.250 0.750 0.000
Li2 0.750 0.250 0.000
La1 0.250 0.250 0.260
La2 0.750 0.750 0.740
Tm1 0.250 0.250 0.659
Tm2 0.750 0.750 0.341

=====

2.
A plane-wave DFT calculation with GGA-PBE was carried out for a relaxed structure of TmZr3.

Summary:
- Symmetry: Pmm2 (25)
- E_form: 0.023 eV/atom
- Uncorrected energy: -7.506 eV/atom
- Energy above the most stable polymorph in this dataset: 2.9 meV/atom
- Calculated density: 7.4 g/cm3

Cell lengths 3.294, 5.210, 5.753 Å; angles 90.00, 90.00, 90.00 degrees
Fractional coordinates of all 4 atoms:
Tm1 0.000 0.000 0.000
Zr1 0.000 0.500 0.664
Zr2 0.500 0.000 0.501
Zr3 0.500 0.500 0.182

=====

3.
A plane-wave DFT calculation with GGA-PBE was carried out for a relaxed structure of CaLa2Pr7.

Summary:
- Symmetry: Cmmm (65)
- E_form: 0.542 eV/atom
- Uncorrected energy: -3.989 eV/atom
- Calculated density: 5.1 g/cm3

Cell lengths 9.542, 9.542, 5.648 Å; angles 90.00, 90.00, 123.96 degrees
Fractional coordinates of all 10 atoms:
Ca1 0.000 0.000 0.000
La1 0.298 0.702 0.500
La2 0.702 0.298 0.500
Pr1 0.068 0.300 0.500
Pr2 0.232 0.768 0.000
Pr3 0.300 0.068 0.500
Pr4 0.500 0.500 0.500
Pr5 0.700 0.932 0.500
Pr6 0.768 0.232 0.000
Pr7 0.932 0.700 0.500

=====

4.
A plane-wave DFT calculation with GGA-PBE was carried out for a relaxed structure of TlAgPtAu.

Summary:
- Symmetry: F-43m (216)
- E_form: 0.067 eV/atom
- Uncorrected energy: -3.567 eV/atom
- Calculated density: 15.6 g/cm3

Cell lengths 6.691, 6.691, 6.691 Å; angles 90.00, 90.00, 90.00 degrees
Fractional coordinates of all 16 atoms:
Tl1 0.000 0.000 0.000
Tl2 0.000 0.500 0.500
Tl3 0.500 0.000 0.500
Tl4 0.500 0.500 0.000
Ag1 0.250 0.250 0.250
Ag2 0.250 0.750 0.750
Ag3 0.750 0.250 0.750
Ag4 0.750 0.750 0.250
Pt1 0.250 0.250 0.750
Pt2 0.250 0.750 0.250
Pt3 0.750 0.250 0.250
Pt4 0.750 0.750 0.750
Au1 0.000 0.000 0.500
Au2 0.000 0.500 0.000
Au3 0.500 0.000 0.000
Au4 0.500 0.500 0.500

=====

5.
A plane-wave DFT calculation with GGA-PBE was carried out for a relaxed structure of AcCuO3.

Summary:
- Symmetry: Pm-3m (221)
- Uncorrected energy: -6.616 eV/atom
- Calculated density: 9.2 g/cm3

Cell lengths 3.943, 3.943, 3.943 Å; angles 90.00, 90.00, 90.00 degrees
Fractional coordinates of all 5 atoms:
Ac1 0.000 0.000 0.000
Cu1 0.500 0.500 0.500
O1 0.000 0.500 0.500
O2 0.500 0.000 0.500
O3 0.500 0.500 0.000

=====

6.
A plane-wave DFT calculation with GGA-PBE was carried out for a relaxed structure of Li2Ti2Br7.

Summary:
- Symmetry: C2/m (12)
- Uncorrected energy: -4.028 eV/atom
- Calculated density: 3.4 g/cm3

Cell lengths 7.378, 7.378, 6.817 Å; angles 91.97, 91.97, 116.92 degrees
Fractional coordinates of all 11 atoms:
Li1 0.247 0.753 0.000
Li2 0.753 0.247 0.000
Ti1 0.172 0.172 0.595
Ti2 0.828 0.828 0.405
Br1 0.052 0.411 0.765
Br2 0.114 0.114 0.236
Br3 0.411 0.052 0.765
Br4 0.500 0.500 0.500
Br5 0.589 0.948 0.235
Br6 0.886 0.886 0.764
Br7 0.948 0.589 0.235

=====

7.
A plane-wave DFT calculation with GGA-PBE was carried out for a relaxed structure of Zr2ScNbN4.

Summary:
- Symmetry: P2/m (10)
- Uncorrected energy: -9.927 eV/atom
- Calculated density: 6.7 g/cm3

Cell lengths 5.538, 3.212, 5.584 Å; angles 90.00, 109.30, 90.00 degrees
Fractional coordinates of all 8 atoms:
Zr1 0.000 0.000 0.000
Zr2 0.000 0.500 0.500
Sc1 0.500 0.000 0.500
Nb1 0.500 0.500 0.000
N1 0.254 0.500 0.253
N2 0.255 0.000 0.749
N3 0.745 0.000 0.251
N4 0.746 0.500 0.747

=====

8.
A plane-wave DFT calculation with GGA-PBE was carried out for a relaxed structure of AlRu2F.

Summary:
- Symmetry: Fm-3m (225)
- Uncorrected energy: -5.940 eV/atom
- Energy above the most stable polymorph in this dataset: 0.0 meV/atom
- Calculated density: 7.7 g/cm3

Cell lengths 5.982, 5.982, 5.982 Å; angles 90.00, 90.00, 90.00 degrees
Fractional coordinates of all 16 atoms:
Al1 0.000 0.000 0.000
Al2 0.000 0.500 0.500
Al3 0.500 0.000 0.500
Al4 0.500 0.500 0.000
Ru1 0.250 0.250 0.250
Ru2 0.250 0.250 0.750
Ru3 0.250 0.750 0.250
Ru4 0.250 0.750 0.750
Ru5 0.750 0.250 0.250
Ru6 0.750 0.250 0.750
Ru7 0.750 0.750 0.250
Ru8 0.750 0.750 0.750
F1 0.000 0.000 0.500
F2 0.000 0.500 0.000
F3 0.500 0.000 0.000
F4 0.500 0.500 0.500

=====

9.
A plane-wave DFT calculation with GGA-PBE was carried out for a relaxed structure of KSr3Ir.

Summary:
- Symmetry: P1 (1)
- E_form: -0.093 eV/atom
- Uncorrected energy: -3.094 eV/atom
- Energy above the most stable polymorph in this dataset: 7.0 meV/atom
- Calculated density: 3.6 g/cm3

Cell lengths 4.285, 9.857, 12.113 Å; angles 113.55, 99.69, 90.06 degrees
Fractional coordinates of all 10 atoms:
K1 0.000 0.000 0.000
K2 0.494 0.418 0.003
Sr1 0.175 0.625 0.380
Sr2 0.176 0.271 0.381
Sr3 0.333 0.609 0.709
Sr4 0.634 0.904 0.293
Sr5 0.790 0.889 0.620
Sr6 0.792 0.245 0.622
Ir1 0.225 0.000 0.483
Ir2 0.742 0.517 0.518

=====

10.
A plane-wave DFT calculation with GGA-PBE was carried out for a relaxed structure of Pu2Zr3NbN6.

Summary:
- Symmetry: C2/m (12)
- Uncorrected energy: -11.000 eV/atom
- Calculated density: 10.2 g/cm3

Cell lengths 5.711, 5.711, 5.756 Å; angles 99.46, 99.46, 120.03 degrees
Fractional coordinates of all 12 atoms:
Pu1 0.166 0.834 0.000
Pu2 0.834 0.166 0.000
Zr1 0.000 0.000 0.500
Zr2 0.335 0.665 0.500
Zr3 0.665 0.335 0.500
Nb1 0.500 0.500 0.000
N1 0.086 0.415 0.743
N2 0.259 0.259 0.263
N3 0.415 0.086 0.743
N4 0.585 0.914 0.257
N5 0.741 0.741 0.737
N6 0.914 0.585 0.257

=====

11.
A plane-wave DFT calculation with GGA-PBE was carried out for a relaxed structure of AsPt2Rh.

Summary:
- Symmetry: Cmmm (65)
- E_form: 0.140 eV/atom
- Uncorrected energy: -5.881 eV/atom
- Calculated density: 14.8 g/cm3

Cell lengths 2.784, 4.840, 9.461 Å; angles 90.00, 90.00, 90.00 degrees
Fractional coordinates of all 8 atoms:
As1 0.000 0.000 0.000
As2 0.500 0.500 0.000
Pt1 0.000 0.500 0.253
Pt2 0.000 0.500 0.747
Pt3 0.500 0.000 0.253
Pt4 0.500 0.000 0.747
Rh1 0.000 0.000 0.500
Rh2 0.500 0.500 0.500

=====

12.
A plane-wave DFT calculation with GGA-PBE was carried out for a relaxed structure of KRbInI4.

Summary:
- Symmetry: Cmcm (63)
- Uncorrected energy: -2.584 eV/atom
- Calculated density: 3.7 g/cm3

Cell lengths 10.233, 10.233, 8.549 Å; angles 90.00, 90.00, 130.70 degrees
Fractional coordinates of all 14 atoms:
K1 0.111 0.889 0.750
K2 0.889 0.111 0.250
Rb1 0.390 0.610 0.750
Rb2 0.610 0.390 0.250
In1 0.249 0.751 0.250
In2 0.751 0.249 0.750
I1 0.000 0.500 0.000
I2 0.000 0.500 0.500
I3 0.078 0.922 0.250
I4 0.417 0.583 0.250
I5 0.500 0.000 0.000
I6 0.500 0.000 0.500
I7 0.583 0.417 0.750
I8 0.922 0.078 0.750

=====

- Number 12 is which compound?
  KRbInI4

=====

- uncorrected energy of number 5 (AcCuO3)?
  -6.616 eV/atom

=====

- Among the records above, which one has the lowest calculated density?
  Li2Ti2Br7